Ca2MnSiNi: relaxed, GGA-PBE.

Summary:
Calculated density: 2.95 g/cm³
Total energy: -4.2885 eV per atom
Space group: No. 123

Cell: 5.316 5.316 4.416 Å, 90.00 90.00 90.00°
Element x y z (fractional)
Ca 0.000 0.500 0.000
Ca 0.500 0.000 0.000
Mn 0.000 0.000 0.000
Si 0.000 0.000 0.500
Ni 0.500 0.500 0.500

---

CaMnSiNi2: relaxed, GGA-PBE.

Summary:
Calculated density: 4.54 g/cm³
Total energy: -5.3620 eV per atom
Space group: No. 123

Cell: 4.495 4.495 4.352 Å, 90.00 90.00 90.00°
Element x y z (fractional)
Ca 0.000 0.000 0.000
Mn 0.500 0.500 0.500
Si 0.500 0.500 0.000
Ni 0.000 0.500 0.500
Ni 0.500 0.000 0.500

---

Ca2MnZn3Ni12: relaxed, GGA-PBE.

Summary:
Calculated density: 6.36 g/cm³
Total energy: -4.5995 eV per atom
Space group: No. 166

Cell: 9.402 9.402 9.402 Å, 37.04 37.04 37.04°
Element x y z (fractional)
Ca 0.154 0.154 0.154
Ca 0.846 0.846 0.846
Mn 0.500 0.500 0.500
Zn 0.000 0.500 0.500
Zn 0.500 0.000 0.500
Zn 0.500 0.500 0.000
Ni 0.078 0.078 0.687
Ni 0.078 0.687 0.078
Ni 0.153 0.566 0.566
Ni 0.313 0.922 0.922
Ni 0.434 0.434 0.847
Ni 0.434 0.847 0.434
Ni 0.566 0.153 0.566
Ni 0.566 0.566 0.153
Ni 0.687 0.078 0.078
Ni 0.847 0.434 0.434
Ni 0.922 0.313 0.922
Ni 0.922 0.922 0.313